No. 1
MgMnMo2 | PBE | relaxed

Structure (CIF):
```
data_MgMnMo2
_space_group_name_H-M_alt 'P 1'
_space_group_IT_number 1
_space_group_name_Hall 'P 1'
_cell_length_a 2.967
_cell_length_b 2.967
_cell_length_c 7.015
_cell_angle_alpha 90.00
_cell_angle_beta 90.00
_cell_angle_gamma 90.00
loop_
_atom_site_label
_atom_site_fract_x
_atom_site_fract_y
_atom_site_fract_z
_atom_site_occupancy
Mg1 0.000 0.000 0.000 1
Mn1 0.500 0.500 0.256 1
Mo1 0.000 0.000 0.436 1
Mo2 0.500 0.500 0.709 1
```

Summary:
As for the crystal system: tetragonal. As for the space group: P4mm (99). The calculation puts the energy relative to the elements at 0.31 eV per atom.

No. 2
Y3ZnO | PBE | relaxed

Structure (CIF):
```
data_Y3ZnO
_space_group_name_H-M_alt 'P 1'
_space_group_IT_number 1
_space_group_name_Hall 'P 1'
_cell_length_a 4.740
_cell_length_b 4.740
_cell_length_c 4.740
_cell_angle_alpha 90.00
_cell_angle_beta 90.00
_cell_angle_gamma 90.00
loop_
_atom_site_label
_atom_site_fract_x
_atom_site_fract_y
_atom_site_fract_z
_atom_site_occupancy
Y1 0.000 0.000 0.500 1
Y2 0.000 0.500 0.000 1
Y3 0.500 0.000 0.000 1
Zn1 0.500 0.500 0.500 1
O1 0.000 0.000 0.000 1
```

Summary:
As for the crystal system: cubic. As for the formation energy (no corrections): -1281.8 meV/atom. As for the space group: Pm-3m (221).

No. 3
LaTmIn4 | PBE | relaxed

Structure (CIF):
```
data_LaTmIn4
_space_group_name_H-M_alt 'P 1'
_space_group_IT_number 1
_space_group_name_Hall 'P 1'
_cell_length_a 10.350
_cell_length_b 18.247
_cell_length_c 3.537
_cell_angle_alpha 90.00
_cell_angle_beta 90.00
_cell_angle_gamma 90.00
loop_
_atom_site_label
_atom_site_fract_x
_atom_site_fract_y
_atom_site_fract_z
_atom_site_occupancy
La1 0.091 0.139 0.000 1
La2 0.409 0.639 0.000 1
La3 0.591 0.361 0.000 1
La4 0.909 0.861 0.000 1
Tm1 0.120 0.423 0.000 1
Tm2 0.380 0.923 0.000 1
Tm3 0.620 0.077 0.000 1
Tm4 0.880 0.577 0.000 1
In1 0.002 0.292 0.500 1
In2 0.129 0.968 0.500 1
In3 0.146 0.571 0.500 1
In4 0.211 0.807 0.500 1
In5 0.289 0.307 0.500 1
In6 0.354 0.071 0.500 1
In7 0.371 0.468 0.500 1
In8 0.498 0.792 0.500 1
In9 0.502 0.208 0.500 1
In10 0.629 0.532 0.500 1
In11 0.646 0.929 0.500 1
In12 0.711 0.693 0.500 1
In13 0.789 0.193 0.500 1
In14 0.854 0.429 0.500 1
In15 0.871 0.032 0.500 1
In16 0.998 0.708 0.500 1
```

Summary:
As for the crystal system: orthorhombic. As for the space group: Pbam (55). The calculation puts the energy relative to the elements at -0.33 eV per atom.

No. 4
AlTeOs | PBE | relaxed

Structure (CIF):
```
data_AlTeOs
_space_group_name_H-M_alt 'P 1'
_space_group_IT_number 1
_space_group_name_Hall 'P 1'
_cell_length_a 7.269
_cell_length_b 6.973
_cell_length_c 3.055
_cell_angle_alpha 83.10
_cell_angle_beta 72.24
_cell_angle_gamma 24.66
loop_
_atom_site_label
_atom_site_fract_x
_atom_site_fract_y
_atom_site_fract_z
_atom_site_occupancy
Al1 0.000 0.000 0.000 1
Te1 0.694 0.694 0.306 1
Os1 0.362 0.362 0.638 1
```

Summary:
As for the crystal system: orthorhombic. As for the formation energy (no corrections): 592.4 meV/atom. As for the space group: Fmm2 (42).

no.,calculated volume (Å³/cell)
1,62
2,106
3,668
4,57